[1]
Computed, not measured: Ti2SiSe after structural relaxation at the PBE-GGA level of DFT.

Properties
For the final energy, the calculation gives -6.944 eV/atom. As for the density of states at the Fermi level: 4.4 states/eV/cell. The energy relative to the elements, uncorrected is -0.770 eV/atom.

Cell: 3.5652 3.5652 18.6981 Å, 90.00 90.00 120.00°
Last column: nearest neighbours and their distance in Å.
Space group R3m (No. 160, hexagonal axes)
Symmetry-distinct sites (fractional):
Ti  0.0000  0.0000  0.0000 [3 per cell]  3 Si 2.51, 3 Se 2.68
Ti  0.0000  0.0000  0.1827 [3 per cell]  3 Si 2.48, 3 Se 2.67
Si  0.0000  0.0000  0.5903 [3 per cell]  6 Ti 2.48-2.51
Se  0.0000  0.0000  0.7586 [3 per cell]  6 Ti 2.67-2.68

=====

[2]
Computed, not measured: PuHfTiMo after structural relaxation at the PBE-GGA level of DFT.

Properties
For the final energy, the calculation gives -10.567 eV/atom. As for the density of states at the Fermi level: 33.8 states/eV/cell. The value obtained for the formation energy is 0.744 eV per formula unit.

Cell: 6.7379 6.7379 6.7379 Å, 90.00 90.00 90.00°
Last column: nearest neighbours and their distance in Å.
Space group F-43m (No. 216)
Symmetry-distinct sites (fractional):
Pu  0.0000  0.0000  0.0000 [4 per cell]  4 Hf 2.92, 4 Ti 2.92
Hf  0.2500  0.2500  0.7500 [4 per cell]  4 Mo 2.92, 4 Pu 2.92
Ti  0.2500  0.2500  0.2500 [4 per cell]  4 Mo 2.92, 4 Pu 2.92
Mo  0.0000  0.0000  0.5000 [4 per cell]  4 Hf 2.92, 4 Ti 2.92

=====

[3]
Computed, not measured: RbGa2HgBr8 after structural relaxation at the PBE-GGA level of DFT.

Properties
For the final energy, the calculation gives -2.607 eV/atom. As for the density of states at the Fermi level: 15.0 states/eV/cell. The energy relative to the elements, uncorrected is -0.882 eV/atom.

Cell: 7.0582 7.0582 30.6424 Å, 90.00 90.00 120.00°
Last column: nearest neighbours and their distance in Å.
Space group R-3 (No. 148, hexagonal axes)
Symmetry-distinct sites (fractional):
Rb  0.0000  0.0000  0.0000 [3 per cell]  12 Br 3.91-4.08
Ga  0.0000  0.0000  0.2533 [6 per cell]  4 Br 2.36-2.37
Hg  0.0000  0.0000  0.5000 [3 per cell]  6 Br 3.21
Br  0.0000  0.0000  0.3303 [6 per cell]  1 Ga 2.36
Br  0.0007  0.6345  0.5620 [18 per cell]  1 Ga 2.37

=====

[4]
Computed, not measured: ScTlSb2 after structural relaxation at the PBE-GGA level of DFT.

Properties
For the final energy, the calculation gives -4.470 eV/atom. As for the density of states at the Fermi level: 5.1 states/eV/cell. The energy relative to the elements, uncorrected is -0.235 eV/atom.

Cell: 6.3984 8.2823 3.9814 Å, 90.00 90.00 90.00°
Last column: nearest neighbours and their distance in Å.
Space group Cmmm (No. 65)
Symmetry-distinct sites (fractional):
Sc  0.0000  0.0000  0.0000 [2 per cell]  2 Tl 3.20, 8 Sb 3.29
Tl  0.0000  0.5000  0.0000 [2 per cell]  2 Sc 3.20, 8 Sb 3.29
Sb  0.2500  0.2500  0.5000 [4 per cell]  2 Sb 3.20, 4 Tl 3.29, 4 Sc 3.29